1.
Density functional theory data (GGA-PBE) for a relaxed structure of Li2AgHgH.

## Properties
**Calculated volume**: 71.2 Å³ per cell
**Theoretical density**: 7.5 g/cm³
**Fermi-level density of states**: 1.1 states/eV/cell
**Space group**: P4/mmm, No. 123
**DFT total energy**: -2.285 eV/atom

Lattice parameters (Å, degrees): 4.3579 4.3579 3.7512 90.00 90.00 90.00
With the nearest neighbours (Å) after each atom.
Fractional positions:
1 Li 0.0000 0.5000 0.0000  2 H 2.18
2 Li 0.5000 0.0000 0.0000  2 H 2.18
3 Ag 0.0000 0.0000 0.5000  2 H 1.88
4 Hg 0.5000 0.5000 0.5000  8 Li 2.87, 4 Ag 3.08
5 H 0.0000 0.0000 0.0000  2 Ag 1.88

***

2.
Density functional theory data (GGA-PBE) for a relaxed structure of Li2AgHgH.

## Properties
**Calculated volume**: 133.1 Å³ per cell
**Theoretical density**: 4.0 g/cm³
**Fermi-level density of states**: 1.5 states/eV/cell
**Space group**: P4/mmm, No. 123
**DFT total energy**: -1.600 eV/atom

Lattice parameters (Å, degrees): 5.0236 5.0236 5.2759 90.00 90.00 90.00
With the nearest neighbours (Å) after each atom.
Fractional positions:
1 Li 0.0000 0.5000 0.0000  2 Ag 2.51
2 Li 0.5000 0.0000 0.0000  2 Ag 2.51
3 Ag 0.0000 0.0000 0.0000  4 Li 2.51, 2 Hg 2.64
4 Hg 0.0000 0.0000 0.5000  2 Ag 2.64
5 H 0.5000 0.5000 0.5000  4 Hg 3.55, 8 Li 3.64

***

3.
Density functional theory data (GGA-PBE) for a relaxed structure of Li2AgHgH.

## Properties
**Calculated volume**: 72.5 Å³ per cell
**Theoretical density**: 7.4 g/cm³
**Fermi-level density of states**: 1.4 states/eV/cell
**Space group**: P4/mmm, No. 123
**DFT total energy**: -2.194 eV/atom

Lattice parameters (Å, degrees): 4.1367 4.1367 4.2388 90.00 90.00 90.00
With the nearest neighbours (Å) after each atom.
Fractional positions:
1 Li 0.0000 0.5000 0.0000  2 H 2.07
2 Li 0.5000 0.0000 0.0000  2 H 2.07
3 Ag 0.0000 0.0000 0.5000  4 Hg 2.93, 8 Li 2.96
4 Hg 0.5000 0.5000 0.5000  2 H 2.12
5 H 0.5000 0.5000 0.0000  4 Li 2.07, 2 Hg 2.12

***

4.
Density functional theory data (GGA-PBE) for a relaxed structure of MgAg2HgH.

## Properties
**Calculated volume**: 79.6 Å³ per cell
**Theoretical density**: 9.2 g/cm³
**Fermi-level density of states**: 1.3 states/eV/cell
**Space group**: P4/mmm, No. 123
**DFT total energy**: -2.136 eV/atom

Lattice parameters (Å, degrees): 4.2459 4.2459 4.4173 90.00 90.00 90.00
With the nearest neighbours (Å) after each atom.
Fractional positions:
1 Mg 0.0000 0.0000 0.0000  2 H 2.21
2 Ag 0.0000 0.5000 0.5000  2 H 2.12
3 Ag 0.5000 0.0000 0.5000  2 H 2.12
4 Hg 0.5000 0.5000 0.0000  4 Mg 3.00, 8 Ag 3.06
5 H 0.0000 0.0000 0.5000  4 Ag 2.12, 2 Mg 2.21

***

Q: What is the calculated volume in the first record?
A: 71.2 Å³ per cell